1.
Density functional theory data (PBE) for crystalline Rb2Br6ClF at its relaxed geometry.

formation energy without anion corrections = -0.58 eV/atom
calculated volume = 30.1 Å³ per atom

Lattice parameters (Å, degrees): 7.5024 7.5024 7.5278 60.11 60.11 90.00
Positions (direct):
F 0.5000 0.5000 0.0000
Br 0.2439 0.2439 0.5121
Br 0.7561 0.7561 0.4879
Br 0.2467 0.2467 0.0000
Br 0.7533 0.7533 0.0000
Br 0.7533 0.2467 0.0000
Br 0.2467 0.7533 0.0000
Rb 0.7500 0.2500 0.5000
Rb 0.2500 0.7500 0.5000
Cl 0.0000 0.0000 0.0000

***

2.
Density functional theory data (PBE) for crystalline SbBr2Cl3F6 at its relaxed geometry.

formation energy without anion corrections = -1.24 eV/atom
calculated volume = 23.2 Å³ per atom

Lattice parameters (Å, degrees): 5.8228 7.3317 9.0399 113.92 124.09 90.00
Positions (direct):
Sb 0.5000 0.0000 0.0000
Br 0.1598 0.6742 0.3483
Br 0.8402 0.3258 0.6517
Cl 0.0000 0.5000 0.0000
Cl 0.5000 0.5000 0.5000
Cl 0.5000 0.0000 0.5000
F 0.7622 0.2816 0.1915
F 0.2378 0.7184 0.8085
F 0.6864 0.9372 0.8745
F 0.3136 0.0628 0.1255
F 0.2378 0.0901 0.8085
F 0.7622 0.9099 0.1915

***

3.
Density functional theory data (PBE) for crystalline Se2BrClF at its relaxed geometry.

formation energy without anion corrections = 0.77 eV/atom
energy above the lowest structure with this stoichiometry = 346 meV per atom
calculated volume = 28.9 Å³ per atom

Lattice parameters (Å, degrees): 5.2514 5.2514 5.2400 90.00 90.00 90.00
Site moments in Bohr magnetons follow the coordinates.
Positions (direct):
F 0.5000 0.5000 0.5000  0.43
Se 0.0000 0.5000 0.0000  1.01
Se 0.5000 0.0000 0.0000  1.01
Br 0.0000 0.0000 0.5000  0.18
Cl 0.0000 0.0000 0.0000  0.12

***

4.
Density functional theory data (PBE) for crystalline Se2BrClF at its relaxed geometry.

formation energy without anion corrections = 0.43 eV/atom
energy above the lowest structure with this stoichiometry = 0 meV per atom
calculated volume = 29.3 Å³ per atom

Lattice parameters (Å, degrees): 4.2757 4.2757 8.0124 90.00 90.00 90.00
Positions (direct):
F 0.0000 0.0000 0.0000
Se 0.0000 0.5000 0.0000
Se 0.5000 0.0000 0.0000
Br 0.0000 0.0000 0.5000
Cl 0.5000 0.5000 0.5000

***

5.
Density functional theory data (PBE) for crystalline TeBrClF2 at its relaxed geometry.

formation energy without anion corrections = -0.15 eV/atom
calculated volume = 20.7 Å³ per atom

Lattice parameters (Å, degrees): 4.2903 5.6236 4.2903 90.00 90.00 90.00
Positions (direct):
F 0.0000 0.0000 0.5000
F 0.5000 0.0000 0.0000
Te 0.0000 0.5000 0.0000
Br 0.5000 0.5000 0.5000
Cl 0.0000 0.0000 0.0000

***

6.
Density functional theory data (PBE) for crystalline Tl3BrClF at its relaxed geometry.

formation energy without anion corrections = -1.20 eV/atom
calculated volume = 32.8 Å³ per atom

Lattice parameters (Å, degrees): 4.5266 8.7982 10.1639 103.44 90.00 90.00
Positions (direct):
Tl 0.2500 0.8023 0.4612
Tl 0.7500 0.9639 0.1471
Tl 0.7500 0.4790 0.1935
Tl 0.7500 0.1977 0.5388
Tl 0.2500 0.5210 0.8065
Tl 0.2500 0.0361 0.8529
Br 0.7500 0.7541 0.7206
Br 0.2500 0.2459 0.2794
Cl 0.2500 0.6988 0.0955
Cl 0.7500 0.3012 0.9045
F 0.2500 0.0728 0.6163
F 0.7500 0.9272 0.3837

***

7.
Density functional theory data (PBE) for crystalline Tl2BrClF at its relaxed geometry.

formation energy without anion corrections = -0.86 eV/atom
calculated volume = 29.0 Å³ per atom

Lattice parameters (Å, degrees): 5.6488 4.5457 5.6488 90.00 90.00 90.00
Positions (direct):
Tl 0.0000 0.0000 0.5000
Tl 0.5000 0.0000 0.0000
F 0.0000 0.0000 0.0000
Br 0.5000 0.5000 0.5000
Cl 0.0000 0.5000 0.0000

***

8.
Density functional theory data (PBE) for crystalline Tl4Br2ClF at its relaxed geometry.

formation energy without anion corrections = -1.09 eV/atom
calculated volume = 33.8 Å³ per atom

Lattice parameters (Å, degrees): 9.1476 9.1476 9.0352 119.62 119.62 89.94
Positions (direct):
Tl 0.1996 0.7861 0.9931
Tl 0.7139 0.3004 0.5069
Tl 0.2861 0.6996 0.4931
Tl 0.8004 0.2139 0.0069
Tl 0.7530 0.7452 0.9896
Tl 0.7548 0.7470 0.5104
Tl 0.2452 0.2530 0.4896
Tl 0.2470 0.2548 0.0104
Br 0.5000 0.0000 0.0000
Br 0.5000 0.0000 0.5000
Br 0.0000 0.0000 0.5000
Br 0.5000 0.5000 0.0000
Cl 0.0000 0.5000 0.0000
Cl 0.0000 0.5000 0.5000
F 0.5000 0.5000 0.5000
F 0.0000 0.0000 0.0000